First-principles (PBE-GGA) data for a relaxed structure of NaB2Rh2, as listed in Alexandria.

Mass density, g/cm³: 6.40
Energy of formation, eV per atom: 0.05
Energy above the lowest structure with this stoichiometry, kcal/mol of atoms: 7.46

a b c (Å): 3.5378 3.5378 10.3838
angles (deg): 90.00 90.00 90.00
Closest atoms and distances in Å follow each position.
Space group I4/mmm (No. 139)
Symmetry-distinct sites (fractional):
1 Na 0.0000 0.0000 0.0000 [2 per cell]  8 Rh 2.89, 8 B 3.14
2 B 0.0000 0.5000 0.2500 [4 per cell]  4 Rh 2.11
3 Rh 0.0000 0.0000 0.3608 [4 per cell]  4 B 2.11

First-principles (PBE-GGA) data for a relaxed structure of NaScB2Rh, as listed in Alexandria.

Mass density, g/cm³: 4.08
Energy of formation, eV per atom: 0.61

a b c (Å): 4.0801 4.0801 4.7083
angles (deg): 90.00 90.00 90.00
Closest atoms and distances in Å follow each position.
Space group P4/mmm (No. 123)
Symmetry-distinct sites (fractional):
1 Na 0.0000 0.0000 0.0000 [1 per cell]  2 Rh 2.35
2 Sc 0.5000 0.5000 0.0000 [1 per cell]  4 Na 2.89, 8 B 3.12
3 B 0.0000 0.5000 0.5000 [2 per cell]  2 Rh 2.04
4 Rh 0.0000 0.0000 0.5000 [1 per cell]  4 B 2.04

First-principles (PBE-GGA) data for a relaxed structure of Na2SnB2Rh5, as listed in Alexandria.

Mass density, g/cm³: 8.17
Energy of formation, eV per atom: -0.30

a b c (Å): 9.8426 9.8426 2.9413
angles (deg): 90.00 90.00 90.00
Closest atoms and distances in Å follow each position.
Space group P4/mbm (No. 127)
Symmetry-distinct sites (fractional):
1 Na 0.1776 0.3224 0.0000 [4 per cell]  3 B 2.80-2.99, 10 Rh 2.88-2.99, 2 Na 2.94
2 Sn 0.0000 0.0000 0.0000 [2 per cell]  8 Rh 2.76, 2 Sn 2.94
3 B 0.1212 0.6212 0.0000 [4 per cell]  6 Rh 2.16-2.24
4 Rh 0.0000 0.5000 0.5000 [2 per cell]  4 B 2.24
5 Rh 0.0693 0.7737 0.5000 [8 per cell]  2 B 2.16

In the order shown, the computed DOS(E_F) values come out to 0.233, 0.635, 0.546 states/eV/atom.